Entry 1:
11
Lattice="4.817 0.000 0.000 -2.409 4.172 0.000 0.000 0.000 13.546" Properties=species:S:1:pos:R:3 comment="Li2La3Cd2Au4 PBE-GGA optimized geometry" spacegroup="P-3m1, No. 164" magmom_total_mub_per_fu=0.0 dos_at_fermi_per_ev_cell=8.426 pbc="T T T"
Li 2.409 1.391 11.685
Li 0.000 2.781 1.860
La 0.000 0.000 9.899
La 0.000 0.000 0.000
La 0.000 0.000 3.647
Cd 2.409 1.391 5.830
Cd 0.000 2.781 7.716
Au 2.409 1.391 1.695
Au 0.000 2.781 11.851
Au 2.409 1.391 8.648
Au 0.000 2.781 4.898


Entry 2:
8
Lattice="-2.591 -2.945 -2.760 -1.103 -4.399 1.561 -8.346 0.564 3.066" Properties=species:S:1:pos:R:3 comment="LiLaCd2Au4 PBE-GGA optimized geometry" spacegroup="R-3m, No. 166" magmom_total_mub_per_fu=0.0 dos_at_fermi_per_ev_cell=2.628 pbc="T T T"
Li -6.020 -3.390 0.933
La 0.000 0.000 0.000
Cd -8.867 -5.153 1.321
Cd -3.172 -1.626 0.546
Au -8.276 -2.435 2.032
Au -6.427 -6.187 0.132
Au -5.613 -0.593 1.735
Au -3.764 -4.345 -0.166


Entry 3:
6
Lattice="-4.581 0.222 0.429 2.512 -2.159 3.202 0.611 5.872 3.480" Properties=species:S:1:pos:R:3 comment="Li2LaCdAu2 PBE-GGA optimized geometry" spacegroup="P-3m1, No. 164" magmom_total_mub_per_fu=0.0 dos_at_fermi_per_ev_cell=2.499 pbc="T T T"
Li 0.549 2.501 4.569
Li -2.008 1.435 2.543
La 0.000 0.000 0.000
Cd 0.306 2.936 1.740
Au 0.310 0.195 3.202
Au -1.768 3.741 3.909


Entry 4:
8
Lattice="-2.760 2.488 -2.712 -0.871 -1.396 -4.296 -8.359 -4.325 0.637" Properties=species:S:1:pos:R:3 comment="Li2LaCdAu4 PBE-GGA optimized geometry" spacegroup="R-3m, No. 166" magmom_total_mub_per_fu=0.0 dos_at_fermi_per_ev_cell=3.771 pbc="T T T"
Li -8.600 -2.167 -4.942
Li -3.390 -1.066 -1.430
La 0.000 0.000 0.000
Cd -5.995 -1.616 -3.186
Au -8.227 -3.080 -2.257
Au -6.194 -0.588 -5.942
Au -5.796 -2.644 -0.429
Au -3.763 -0.152 -4.114


Entry 5:
8
Lattice="4.097 0.000 0.000 0.000 4.097 0.000 0.000 0.000 11.747" Properties=species:S:1:pos:R:3 comment="LiLaCdAu PBE-GGA optimized geometry" spacegroup="P4/nmm, No. 129" magmom_total_mub_per_fu=0.0 dos_at_fermi_per_ev_cell=3.911 pbc="T T T"
Li 0.000 0.000 5.874
Li 2.049 2.049 5.874
La 0.000 2.049 9.541
La 2.049 0.000 2.206
Cd 0.000 2.049 3.940
Cd 2.049 0.000 7.807
Au 2.049 0.000 10.825
Au 0.000 2.049 0.923


Entry 6:
9
Lattice="-3.886 -2.344 1.693 2.706 -3.949 0.743 1.615 2.440 7.085" Properties=species:S:1:pos:R:3 comment="Li2LaCdAu5 PBE-GGA optimized geometry" spacegroup="P4/mmm, No. 123" magmom_total_mub_per_fu=0.0 dos_at_fermi_per_ev_cell=4.345 pbc="T T T"
Li -0.335 -2.760 2.340
Li 0.769 -1.092 7.182
La 0.807 1.220 3.543
Cd 0.000 0.000 0.000
Au 1.730 -1.405 2.024
Au -1.567 -0.603 2.499
Au 2.591 -0.103 5.805
Au -0.705 0.699 6.280
Au 0.217 -1.926 4.761


Entry 7:
5
Lattice="4.989 0.000 0.000 0.000 5.703 0.000 0.000 0.000 4.989" Properties=species:S:1:pos:R:3 comment="Li2LaCdAu PBE-GGA optimized geometry" spacegroup="P4/mmm, No. 123" magmom_total_mub_per_fu=0.0 dos_at_fermi_per_ev_cell=3.548 pbc="T T T"
Cd 2.495 2.851 2.495
Au 0.000 0.000 0.000
Li 0.000 0.000 2.495
Li 2.495 0.000 0.000
La 0.000 2.851 0.000


Entry 8:
8
Lattice="-2.996 1.821 -3.099 -1.806 -2.697 -3.371 -8.588 -2.463 3.324" Properties=species:S:1:pos:R:3 comment="LaMg2CdAu4 PBE-GGA optimized geometry" spacegroup="R-3m, No. 166" magmom_total_mub_per_fu=0.0 dos_at_fermi_per_ev_cell=3.930 pbc="T T T"
La 0.000 0.000 0.000
Mg -9.762 -2.417 -2.580
Mg -3.629 -0.922 -0.566
Cd -6.695 -1.669 -1.573
Au -8.900 -2.354 0.156
Au -7.358 -1.670 -4.465
Au -6.033 -1.669 1.319
Au -4.491 -0.985 -3.302


Calculated total energy for the records above, in order: -3.56 -3.24 -3.27 -3.40 -3.19 -3.33 -2.77 -3.34 eV per atom